(1)
Compound: Al2TePt
Source: Alexandria
Functional: PBE
Structure: optimized geometry

Calculated values
space-group type = P4/mmm, No. 123
formation energy from raw total energies = 0.009 eV per atom
D(E_F) = 1.74 states/eV/cell

Lattice parameters (Å, degrees): 4.586 4.586 3.594 90.00 90.00 90.00
Positions (direct):
1 Al 0.000 0.500 0.000
2 Al 0.500 0.000 0.000
3 Te 0.000 0.000 0.500
4 Pt 0.500 0.500 0.500


(2)
Compound: AlTePt2
Source: Alexandria
Functional: PBE
Structure: optimized geometry

Calculated values
polymorph energy (0 for the lowest one) = 154 meV per atom
space-group type = I-42d, No. 122
formation energy from raw total energies = -0.293 eV per atom
D(E_F) = 3.92 states/eV/cell

Lattice parameters (Å, degrees): 8.713 8.713 8.713 150.31 150.31 42.48
Positions (direct):
1 Al 0.000 0.000 0.000
2 Al 0.750 0.250 0.500
3 Te 0.250 0.750 0.500
4 Te 0.500 0.500 0.000
5 Pt 0.100 0.625 0.975
6 Pt 0.375 0.350 0.475
7 Pt 0.650 0.125 0.025
8 Pt 0.875 0.900 0.525


(3)
Compound: Al2TePt
Source: Alexandria
Functional: PBE
Structure: optimized geometry

Calculated values
space-group type = Pm, No. 6
formation energy from raw total energies = -0.437 eV per atom
D(E_F) = 1.21 states/eV/cell

Lattice parameters (Å, degrees): 4.324 4.126 5.718 90.00 111.73 90.00
Positions (direct):
1 Al 0.000 0.000 0.000
2 Al 0.471 0.500 0.945
3 Te 0.788 0.500 0.579
4 Pt 0.597 0.000 0.198


(4)
Compound: AlTl2TePt
Source: Alexandria
Functional: PBE
Structure: optimized geometry

Calculated values
space-group type = P4/mmm, No. 123
formation energy from raw total energies = 0.218 eV per atom
D(E_F) = 3.82 states/eV/cell

Lattice parameters (Å, degrees): 5.561 5.561 4.663 90.00 90.00 90.00
Positions (direct):
1 Al 0.000 0.000 0.000
2 Tl 0.000 0.500 0.000
3 Tl 0.500 0.000 0.000
4 Te 0.500 0.500 0.500
5 Pt 0.000 0.000 0.500


(5)
Compound: AlZn2TePt
Source: Alexandria
Functional: PBE
Structure: optimized geometry

Calculated values
space-group type = P4/mmm, No. 123
formation energy from raw total energies = 0.974 eV per atom
D(E_F) = 1.70 states/eV/cell

Lattice parameters (Å, degrees): 5.014 5.014 5.365 90.00 90.00 90.00
Positions (direct):
1 Al 0.000 0.000 0.000
2 Zn 0.000 0.500 0.500
3 Zn 0.500 0.000 0.500
4 Te 0.000 0.000 0.500
5 Pt 0.500 0.500 0.000


(6)
Compound: Th3Al9Pt2
Source: Alexandria
Functional: PBE
Structure: optimized geometry

Calculated values
space-group type = Immm, No. 71
ΔE_f = -65 kJ per mole of atoms
D(E_F) = 5.05 states/eV/cell

Lattice parameters (Å, degrees): 8.347 8.347 8.347 149.64 104.28 83.71
Positions (direct):
1 Th 0.000 0.000 0.000
2 Th 0.317 0.317 0.000
3 Th 0.683 0.683 0.000
4 Al 0.033 0.665 0.368
5 Al 0.155 0.877 0.278
6 Al 0.296 0.665 0.632
7 Al 0.401 0.123 0.278
8 Al 0.500 0.000 0.500
9 Al 0.599 0.877 0.722
10 Al 0.704 0.335 0.368
11 Al 0.845 0.123 0.722
12 Al 0.967 0.335 0.632
13 Pt 0.281 0.500 0.781
14 Pt 0.719 0.500 0.219